Here is ZrSbP after structural relaxation from the Alexandria database. Energies are from PBE.

Summary:
Volume   122 Å³/cell
Raw formation energy   -713.7 meV per atom
ΔE to the lowest computed polymorph   0 meV per atom

abc: 3.801 3.801 8.444
angles: 90.00 90.00 90.00
Positions (direct):
1 Zr 0.250 0.250 0.236
2 Zr 0.750 0.750 0.764
3 Sb 0.250 0.250 0.613
4 Sb 0.750 0.750 0.387
5 P 0.250 0.750 0.000
6 P 0.750 0.250 0.000